Entry 1
The following is a DFT calculation (GGA-PBE) of a relaxed ScGa2Re crystal.

Geometry as POSCAR:
```
ScGa2Re
1.0
0.0000 3.1730 3.1730
3.1730 0.0000 3.1730
3.1730 3.1730 0.0000
Ga Sc Re
2 1 1
direct
0.7500 0.7500 0.7500 Ga
0.2500 0.2500 0.2500 Ga
0.0000 0.0000 0.0000 Sc
0.5000 0.5000 0.5000 Re
```

## Properties
- M_tot (Bohr magnetons per cell) = 0.0


Entry 2
The following is a DFT calculation (GGA-PBE) of a relaxed ScGa2Re crystal.

Geometry as POSCAR:
```
ScGa2Re
1.0
-3.8382 0.4178 0.7216
-0.1617 -3.7075 1.2866
-0.0279 1.3146 9.7800
Ga Re Sc
4 2 2
direct
0.3750 0.3393 0.7500 Ga
0.6607 0.1250 0.2500 Ga
0.8750 0.9107 0.7500 Ga
0.0893 0.6250 0.2500 Ga
0.7500 0.2500 0.5000 Re
0.0000 0.0000 0.0000 Re
0.5000 0.5000 0.0000 Sc
0.2500 0.7500 0.5000 Sc
```

## Properties
- M_tot (Bohr magnetons per cell) = 0.0


Which structure is the least stable? The one labeled entry 2.


Entry 1
The following is a DFT calculation (GGA-PBE) of a relaxed Ga3ReSe crystal.

Geometry as POSCAR:
```
Ga3ReSe
1.0
-1.2715 2.6101 3.9675
-0.1989 -4.1329 2.6551
4.7449 0.5262 1.1745
Ga Se Re
3 1 1
direct
0.0000 0.5000 0.0000 Ga
0.0000 0.0000 0.5000 Ga
0.5000 0.0000 0.0000 Ga
0.5000 0.5000 0.5000 Se
0.0000 0.0000 0.0000 Re
```

## Properties
- M_tot (Bohr magnetons per cell) = 1.7


Entry 2
The following is a DFT calculation (GGA-PBE) of a relaxed Ga3ReSe crystal.

Geometry as POSCAR:
```
Ga3ReSe
1.0
-4.5575 -0.6685 -1.7126
1.3842 -4.2606 -2.0206
-1.2099 -2.3562 4.1395
Se Ga Re
1 3 1
direct
0.0000 0.0000 0.0000 Se
0.0000 0.0000 0.5000 Ga
0.0000 0.5000 0.0000 Ga
0.5000 0.0000 0.0000 Ga
0.5000 0.5000 0.5000 Re
```

## Properties
- M_tot (Bohr magnetons per cell) = 3.1


Which structure is the least stable? The one labeled entry 2.


Entry 1
The following is a DFT calculation (GGA-PBE) of a relaxed GaReSi crystal.

Geometry as POSCAR:
```
GaReSi
1.0
-0.6726 -2.7065 1.5401
2.2640 -3.6932 -2.2065
5.7751 -1.6928 2.8423
Si Re Ga
2 2 2
direct
0.1461 0.2466 0.4611 Si
0.8539 0.7534 0.5389 Si
0.8076 0.2133 0.1715 Re
0.1924 0.7867 0.8285 Re
0.4657 0.2478 0.8208 Ga
0.5343 0.7522 0.1792 Ga
```

## Properties
- M_tot (Bohr magnetons per cell) = 0.0


Entry 2
The following is a DFT calculation (GGA-PBE) of a relaxed GaReSi crystal.

Geometry as POSCAR:
```
GaReSi
1.0
3.2198 0.0000 0.0000
0.0000 4.0958 0.0000
0.0000 -2.0479 3.5471
Si Re Ga
1 1 1
direct
0.1664 0.3333 0.6667 Si
0.1668 0.0000 0.0000 Re
0.6668 0.6667 0.3333 Ga
```

## Properties
- M_tot (Bohr magnetons per cell) = 0.0


Which structure is the least stable? The one labeled entry 2.


Entry 1
The following is a DFT calculation (GGA-PBE) of a relaxed GaRe2Si crystal.

Geometry as POSCAR:
```
GaRe2Si
1.0
-1.0861 -2.2455 3.3942
0.4828 -4.1844 -0.0002
3.5718 -1.7080 2.6265
Ga Re Si
1 2 1
direct
0.4884 0.4884 0.5348 Ga
0.2692 0.2692 0.1923 Re
0.0599 0.0599 0.8204 Re
0.6825 0.6825 0.9524 Si
```

## Properties
- M_tot (Bohr magnetons per cell) = 0.0


Entry 2
The following is a DFT calculation (GGA-PBE) of a relaxed GaRe2Si crystal.

Geometry as POSCAR:
```
GaRe2Si
1.0
2.8149 0.0000 0.0000
1.4075 2.4378 0.0000
1.4075 0.8126 9.0939
Si Ga Re
1 1 2
direct
0.5000 0.5000 0.5000 Si
0.0000 0.0000 0.0000 Ga
0.9046 0.9046 0.2861 Re
0.0954 0.0954 0.7139 Re
```

## Properties
- M_tot (Bohr magnetons per cell) = 0.0


Entry 3
The following is a DFT calculation (GGA-PBE) of a relaxed GaRe2Si crystal.

Geometry as POSCAR:
```
GaRe2Si
1.0
7.3212 0.0000 0.0000
0.0000 7.3212 0.0000
3.6606 3.6606 2.4547
Re Si Ga
4 2 2
direct
0.8750 0.8064 0.7500 Re
0.1936 0.6250 0.2500 Re
0.5564 0.1250 0.2500 Re
0.3750 0.4436 0.7500 Re
0.2500 0.7500 0.5000 Si
0.5000 0.5000 0.0000 Si
0.0000 0.0000 0.0000 Ga
0.7500 0.2500 0.5000 Ga
```

## Properties
- M_tot (Bohr magnetons per cell) = 0.0


Which structure is the least stable? The one labeled entry 3.


Entry 1
The following is a DFT calculation (GGA-PBE) of a relaxed GaReSn3 crystal.

Geometry as POSCAR:
```
GaReSn3
1.0
-0.3632 -3.6412 -3.7191
3.7672 -2.7564 2.3308
-3.5915 -2.5231 2.8209
Re Sn Ga
1 3 1
direct
0.0000 0.0000 0.0000 Re
0.5000 0.0000 0.0000 Sn
0.0000 0.5000 0.0000 Sn
0.0000 0.0000 0.5000 Sn
0.5000 0.5000 0.5000 Ga
```

## Properties
- M_tot (Bohr magnetons per cell) = 0.8


Entry 2
The following is a DFT calculation (GGA-PBE) of a relaxed GaReSn3 crystal.

Geometry as POSCAR:
```
GaReSn3
1.0
-3.6497 3.5005 -1.1842
-3.6395 -3.6932 0.2997
-0.6400 1.0404 5.0482
Sn Ga Re
3 1 1
direct
0.0000 0.0000 0.5000 Sn
0.0000 0.5000 0.0000 Sn
0.5000 0.0000 0.0000 Sn
0.0000 0.0000 0.0000 Ga
0.5000 0.5000 0.5000 Re
```

## Properties
- M_tot (Bohr magnetons per cell) = 3.5


Which structure is the least stable? The one labeled entry 2.


Entry 1
The following is a DFT calculation (GGA-PBE) of a relaxed SrGa3Re crystal.

Geometry as POSCAR:
```
SrGa3Re
1.0
5.3512 0.0000 0.0000
0.0000 5.3512 0.0000
0.0000 0.0000 5.3512
Ga Re Sr
3 1 1
direct
0.0000 0.5000 0.0000 Ga
0.5000 0.0000 0.0000 Ga
0.0000 0.0000 0.5000 Ga
0.5000 0.5000 0.5000 Re
0.0000 0.0000 0.0000 Sr
```

## Properties
- M_tot (Bohr magnetons per cell) = 0.0


Entry 2
The following is a DFT calculation (GGA-PBE) of a relaxed SrGa3Re crystal.

Geometry as POSCAR:
```
SrGa3Re
1.0
-0.8730 -0.4705 -4.7887
-2.4167 -4.1656 0.8498
-4.1608 2.5182 0.5112
Re Ga Sr
1 3 1
direct
0.0000 0.0000 0.0000 Re
0.0000 0.5000 0.0000 Ga
0.5000 0.0000 0.0000 Ga
0.0000 0.0000 0.5000 Ga
0.5000 0.5000 0.5000 Sr
```

## Properties
- M_tot (Bohr magnetons per cell) = 0.0


Which structure is the least stable? The one labeled entry 1.


Entry 1
The following is a DFT calculation (GGA-PBE) of a relaxed SrGa2Re2 crystal.

Geometry as POSCAR:
```
SrGa2Re2
1.0
8.1013 0.0000 0.0000
0.0000 8.1013 0.0000
0.0000 0.0000 2.7207
Re Ga Sr
4 4 2
direct
0.6193 0.8807 0.5000 Re
0.3807 0.1193 0.5000 Re
0.1193 0.6193 0.5000 Re
0.8807 0.3807 0.5000 Re
0.3290 0.8290 0.0000 Ga
0.6710 0.1710 0.0000 Ga
0.8290 0.6710 0.0000 Ga
0.1710 0.3290 0.0000 Ga
0.5000 0.5000 0.0000 Sr
0.0000 0.0000 0.0000 Sr
```

## Properties
- M_tot (Bohr magnetons per cell) = 0.0


Entry 2
The following is a DFT calculation (GGA-PBE) of a relaxed SrGa2Re2 crystal.

Geometry as POSCAR:
```
SrGa2Re2
1.0
-0.9970 -1.1944 -3.6241
0.5653 -3.7506 1.0806
-6.0896 -2.8558 0.4705
Re Ga Sr
2 2 1
direct
0.7500 0.2500 0.5000 Re
0.2500 0.7500 0.5000 Re
0.6099 0.6099 0.7802 Ga
0.3901 0.3901 0.2198 Ga
0.0000 0.0000 0.0000 Sr
```

## Properties
- M_tot (Bohr magnetons per cell) = 0.0


Which structure is the least stable? The one labeled entry 1.


Entry 1
The following is a DFT calculation (GGA-PBE) of a relaxed SrGaRe3 crystal.

Geometry as POSCAR:
```
SrGaRe3
1.0
-3.2752 3.5011 0.6987
-1.0012 -1.8109 4.3808
3.4269 2.8170 1.9477
Ga Re Sr
1 3 1
direct
0.5000 0.5000 0.5000 Ga
0.0000 0.5000 0.0000 Re
0.0000 0.0000 0.5000 Re
0.5000 0.0000 0.0000 Re
0.0000 0.0000 0.0000 Sr
```

## Properties
- M_tot (Bohr magnetons per cell) = 2.9


Entry 2
The following is a DFT calculation (GGA-PBE) of a relaxed SrGaRe3 crystal.

Geometry as POSCAR:
```
SrGaRe3
1.0
4.7085 0.0000 0.0000
0.0000 4.7085 0.0000
0.0000 0.0000 4.7085
Re Ga Sr
3 1 1
direct
0.5000 0.0000 0.0000 Re
0.0000 0.0000 0.5000 Re
0.0000 0.5000 0.0000 Re
0.0000 0.0000 0.0000 Ga
0.5000 0.5000 0.5000 Sr
```

## Properties
- M_tot (Bohr magnetons per cell) = 0.0


Which structure is the least stable? The one labeled entry 1.


Entry 1
The following is a DFT calculation (GGA-PBE) of a relaxed TaGa3Re crystal.

Geometry as POSCAR:
```
TaGa3Re
1.0
4.9472 0.0000 0.0000
0.0000 4.9472 0.0000
0.0000 0.0000 4.9472
Re Ga Ta
1 3 1
direct
0.5000 0.5000 0.5000 Re
0.0000 0.0000 0.5000 Ga
0.5000 0.0000 0.0000 Ga
0.0000 0.5000 0.0000 Ga
0.0000 0.0000 0.0000 Ta
```

## Properties
- M_tot (Bohr magnetons per cell) = 3.9


Entry 2
The following is a DFT calculation (GGA-PBE) of a relaxed TaGa3Re crystal.

Geometry as POSCAR:
```
TaGa3Re
1.0
4.7176 0.0000 0.0000
0.0000 4.7176 0.0000
0.0000 0.0000 4.7176
Ga Ta Re
3 1 1
direct
0.0000 0.5000 0.0000 Ga
0.0000 0.0000 0.5000 Ga
0.5000 0.0000 0.0000 Ga
0.5000 0.5000 0.5000 Ta
0.0000 0.0000 0.0000 Re
```

## Properties
- M_tot (Bohr magnetons per cell) = 0.0


Which structure is the least stable? The one labeled entry 1.


Entry 1
The following is a DFT calculation (GGA-PBE) of a relaxed Ga2ReTc crystal.

Geometry as POSCAR:
```
Ga2ReTc
1.0
-0.2654 0.1171 2.8414
1.3563 -1.9043 1.6407
7.0562 4.5277 1.9080
Ga Re Tc
2 1 1
direct
0.7488 0.7488 0.7535 Ga
0.2512 0.2512 0.2465 Ga
0.5000 0.5000 0.5000 Re
0.0000 0.0000 0.0000 Tc
```

## Properties
- M_tot (Bohr magnetons per cell) = 0.0


Entry 2
The following is a DFT calculation (GGA-PBE) of a relaxed Ga2ReTc crystal.

Geometry as POSCAR:
```
Ga2ReTc
1.0
-4.9807 -4.6247 -1.3736
1.1610 -3.0653 6.1105
-3.7162 -2.2406 3.5165
Re Ga Tc
2 4 2
direct
0.0000 0.0000 0.0000 Re
0.7500 0.2500 0.5000 Re
0.8750 0.8737 0.7500 Ga
0.3750 0.3763 0.7500 Ga
0.6237 0.1250 0.2500 Ga
0.1263 0.6250 0.2500 Ga
0.5000 0.5000 0.0000 Tc
0.2500 0.7500 0.5000 Tc
```

## Properties
- M_tot (Bohr magnetons per cell) = 0.7


Which structure is the least stable? The one labeled entry 2.


Entry 1
The following is a DFT calculation (GGA-PBE) of a relaxed GaReTc3 crystal.

Geometry as POSCAR:
```
GaReTc3
1.0
-2.0434 3.2650 -2.7106
-4.1518 -0.9159 2.0266
0.8777 3.2686 3.2755
Re Tc Ga
1 3 1
direct
0.0000 0.0000 0.0000 Re
0.5000 0.0000 0.0000 Tc
0.0000 0.5000 0.0000 Tc
0.0000 0.0000 0.5000 Tc
0.5000 0.5000 0.5000 Ga
```

## Properties
- M_tot (Bohr magnetons per cell) = 2.4


Entry 2
The following is a DFT calculation (GGA-PBE) of a relaxed GaReTc3 crystal.

Geometry as POSCAR:
```
GaReTc3
1.0
4.4146 0.0000 0.0000
0.0000 4.4146 0.0000
0.0000 0.0000 4.4146
Ga Tc Re
1 3 1
direct
0.0000 0.0000 0.0000 Ga
0.5000 0.0000 0.0000 Tc
0.0000 0.0000 0.5000 Tc
0.0000 0.5000 0.0000 Tc
0.5000 0.5000 0.5000 Re
```

## Properties
- M_tot (Bohr magnetons per cell) = 0.0


Which structure is the least stable? The one labeled entry 2.


Entry 1
The following is a DFT calculation (GGA-PBE) of a relaxed Th2GaRe crystal.

Geometry as POSCAR:
```
Th2GaRe
1.0
-1.6437 1.0473 -2.9794
2.1464 -2.0933 -1.9200
-5.0321 -5.8273 0.7278
Ga Re Th
1 1 2
direct
0.5000 0.5000 0.5000 Ga
0.5000 0.5000 0.0000 Re
0.0000 0.0000 0.2280 Th
0.0000 0.0000 0.7720 Th
```

## Properties
- M_tot (Bohr magnetons per cell) = 0.0


Entry 2
The following is a DFT calculation (GGA-PBE) of a relaxed Th2GaRe crystal.

Geometry as POSCAR:
```
Th2GaRe
1.0
-3.1651 0.7627 0.7084
-2.3196 -2.3914 0.0462
0.0361 -2.1568 10.3193
Ga Th Re
1 2 1
direct
0.5000 0.5000 0.5000 Ga
0.0841 0.0841 0.7477 Th
0.9159 0.9159 0.2523 Th
0.0000 0.0000 0.0000 Re
```

## Properties
- M_tot (Bohr magnetons per cell) = 0.0


Which structure is the least stable? The one labeled entry 2.